w:
Compound: EuDy3
Source: the Alexandria database
Functional: GGA-PBE
Structure: optimized geometry

M_tot: 7.25 Bohr magnetons per cell

Cell: 5.0919 5.0919 6.2294 Å, 114.12 114.12 90.00°
Site moments in Bohr magnetons follow the coordinates.
Sites, in units of the cell vectors:
Eu 0.0000 0.0000 0.0000  -6.84
Dy 0.7500 0.2500 0.5000  -0.04
Dy 0.2500 0.7500 0.5000  -0.04
Dy 0.5000 0.5000 0.0000  -0.01



x:
Compound: EuDy3
Source: the Alexandria database
Functional: GGA-PBE
Structure: optimized geometry

M_tot: 7.53 Bohr magnetons per cell

Cell: 3.6388 6.3308 6.8379 Å, 117.58 105.43 90.00°
Site moments in Bohr magnetons follow the coordinates.
Sites, in units of the cell vectors:
Eu 0.0000 0.9974 0.0000  6.89
Dy 0.2436 0.5777 0.4871  0.09
Dy 0.5000 0.5008 0.0000  0.05
Dy 0.7564 0.0906 0.5129  0.09



y:
Compound: EuDy3
Source: the Alexandria database
Functional: GGA-PBE
Structure: optimized geometry

M_tot: 8.17 Bohr magnetons per cell

Cell: 5.7351 5.7351 5.7351 Å, 60.00 60.00 60.00°
Site moments in Bohr magnetons follow the coordinates.
Sites, in units of the cell vectors:
Eu 0.5000 0.5000 0.5000  -6.89
Dy 0.0000 0.0000 0.0000  -0.23
Dy 0.7500 0.7500 0.7500  -0.23
Dy 0.2500 0.2500 0.2500  -0.23



Which of them is the most stable, and which is the least stable? x and y, in that order.



w:
Compound: Eu2DyGa
Source: the Alexandria database
Functional: GGA-PBE
Structure: optimized geometry

M_tot: 15.05 Bohr magnetons per cell

Cell: 3.7226 3.7226 9.0222 Å, 90.00 90.00 90.00°
Site moments in Bohr magnetons follow the coordinates.
Sites, in units of the cell vectors:
Eu 0.0000 0.0000 0.7961  6.86
Eu 0.0000 0.0000 0.2039  6.86
Ga 0.5000 0.5000 0.0000  -0.03
Dy 0.5000 0.5000 0.5000  0.47



x:
Compound: Eu2DyGa
Source: the Alexandria database
Functional: GGA-PBE
Structure: optimized geometry

M_tot: 14.29 Bohr magnetons per cell

Cell: 5.5226 5.5226 5.5222 Å, 60.00 60.00 60.00°
Site moments in Bohr magnetons follow the coordinates.
Sites, in units of the cell vectors:
Eu 0.2499 0.2499 0.2502  6.83
Eu 0.7501 0.7501 0.7498  6.83
Ga 0.0000 0.0000 0.0000  -0.04
Dy 0.5000 0.5000 0.5000  0.19



y:
Compound: Eu2DyGa
Source: the Alexandria database
Functional: GGA-PBE
Structure: optimized geometry

M_tot: 14.31 Bohr magnetons per cell

Cell: 5.0858 4.7760 4.7760 Å, 90.00 90.00 90.00°
Site moments in Bohr magnetons follow the coordinates.
Sites, in units of the cell vectors:
Eu 0.0000 0.0000 0.5000  6.88
Eu 0.0000 0.5000 0.0000  6.88
Ga 0.5000 0.0000 0.0000  -0.06
Dy 0.5000 0.5000 0.5000  0.13



Which of them is the most stable, and which is the least stable? w and x, in that order.



w:
Compound: EuDyGa2
Source: the Alexandria database
Functional: GGA-PBE
Structure: optimized geometry

M_tot: 7.08 Bohr magnetons per cell

Cell: 5.1672 5.1672 5.1672 Å, 60.00 60.00 60.00°
Site moments in Bohr magnetons follow the coordinates.
Sites, in units of the cell vectors:
Eu 0.0000 0.0000 0.0000  6.78
Ga 0.2500 0.2500 0.2500  -0.01
Ga 0.7500 0.7500 0.7500  -0.01
Dy 0.5000 0.5000 0.5000  0.07



x:
Compound: EuDyGa2
Source: the Alexandria database
Functional: GGA-PBE
Structure: optimized geometry

M_tot: 7.17 Bohr magnetons per cell

Cell: 3.6739 3.6739 7.2868 Å, 90.00 90.00 90.00°
Site moments in Bohr magnetons follow the coordinates.
Sites, in units of the cell vectors:
Eu 0.5000 0.5000 0.5000  6.86
Ga 0.0000 0.0000 0.7737  0.00
Ga 0.0000 0.0000 0.2263  0.00
Dy 0.5000 0.5000 0.0000  0.02



Which of them is the most stable, and which is the least stable? x and w, in that order.



w:
Compound: EuGdDy2
Source: the Alexandria database
Functional: GGA-PBE
Structure: optimized geometry

M_tot: 0.69 Bohr magnetons per cell

Cell: 3.5363 3.5363 12.6987 Å, 82.00 82.00 60.00°
Site moments in Bohr magnetons follow the coordinates.
Sites, in units of the cell vectors:
Eu 0.0000 0.0000 0.0000  7.10
Gd 0.5000 0.5000 0.5000  -7.12
Dy 0.0908 0.0908 0.7277  0.14
Dy 0.9092 0.9092 0.2723  0.14



x:
Compound: EuGdDy2
Source: the Alexandria database
Functional: GGA-PBE
Structure: optimized geometry

M_tot: 0.21 Bohr magnetons per cell

Cell: 5.0869 5.1087 5.1087 Å, 90.00 90.00 90.00°
Site moments in Bohr magnetons follow the coordinates.
Sites, in units of the cell vectors:
Eu 0.5000 0.5000 0.5000  -6.82
Gd 0.5000 0.0000 0.0000  7.15
Dy 0.0000 0.0000 0.5000  -0.02
Dy 0.0000 0.5000 0.0000  -0.02



y:
Compound: EuGdDy2
Source: the Alexandria database
Functional: GGA-PBE
Structure: optimized geometry

M_tot: 15.25 Bohr magnetons per cell

Cell: 5.7449 5.7449 5.7449 Å, 60.00 60.00 60.00°
Site moments in Bohr magnetons follow the coordinates.
Sites, in units of the cell vectors:
Eu 0.0000 0.0000 0.0000  6.86
Gd 0.5000 0.5000 0.5000  7.27
Dy 0.2500 0.2500 0.2500  0.18
Dy 0.7500 0.7500 0.7500  0.18



Which of them is the most stable, and which is the least stable? x and w, in that order.



w:
Compound: EuGdDy
Source: the Alexandria database
Functional: GGA-PBE
Structure: optimized geometry

M_tot: 14.68 Bohr magnetons per cell

Cell: 3.6449 3.6449 8.2048 Å, 102.83 102.83 90.00°
Site moments in Bohr magnetons follow the coordinates.
Sites, in units of the cell vectors:
Eu 0.9999 0.9999 0.9999  -6.94
Gd 0.3260 0.3260 0.6519  -7.18
Dy 0.6741 0.6741 0.3482  0.08



x:
Compound: EuGdDy
Source: the Alexandria database
Functional: GGA-PBE
Structure: optimized geometry

M_tot: 0.10 Bohr magnetons per cell

Cell: 3.6551 3.6551 8.9122 Å, 90.00 90.00 120.00°
Site moments in Bohr magnetons follow the coordinates.
Sites, in units of the cell vectors:
Eu 0.0000 0.0000 0.9964  7.02
Gd 0.6667 0.3333 0.3466  -7.20
Dy 0.3333 0.6667 0.6570  0.04



Which of them is the most stable, and which is the least stable? x and w, in that order.



w:
Compound: EuDyGe2
Source: the Alexandria database
Functional: GGA-PBE
Structure: optimized geometry

M_tot: 6.93 Bohr magnetons per cell

Cell: 3.3931 3.3931 8.2637 Å, 90.00 90.00 90.00°
Site moments in Bohr magnetons follow the coordinates.
Sites, in units of the cell vectors:
Eu 0.5000 0.5000 0.0000  -6.81
Ge 0.0000 0.0000 0.7403  0.03
Ge 0.0000 0.0000 0.2597  0.03
Dy 0.5000 0.5000 0.5000  0.02



x:
Compound: EuDyGe2
Source: the Alexandria database
Functional: GGA-PBE
Structure: optimized geometry

M_tot: 6.85 Bohr magnetons per cell

Cell: 3.8604 3.8604 8.5191 Å, 76.90 76.90 60.00°
Site moments in Bohr magnetons follow the coordinates.
Sites, in units of the cell vectors:
Eu 0.5000 0.5000 0.5000  6.74
Ge 0.2530 0.2530 0.2409  -0.02
Ge 0.7470 0.7470 0.7591  -0.02
Dy 0.0000 0.0000 0.0000  -0.04



Which of them is the most stable, and which is the least stable? w and x, in that order.



w:
Compound: EuDy2Hg
Source: the Alexandria database
Functional: GGA-PBE
Structure: optimized geometry

M_tot: 8.04 Bohr magnetons per cell

Cell: 3.6631 3.6631 9.1909 Å, 90.00 90.00 90.00°
Site moments in Bohr magnetons follow the coordinates.
Sites, in units of the cell vectors:
Eu 0.5000 0.5000 0.5000  6.94
Hg 0.5000 0.5000 0.0000  0.01
Dy 0.0000 0.0000 0.7938  0.21
Dy 0.0000 0.0000 0.2062  0.21



x:
Compound: EuDy2Hg
Source: the Alexandria database
Functional: GGA-PBE
Structure: optimized geometry

M_tot: 7.76 Bohr magnetons per cell

Cell: 3.6722 3.6722 11.0390 Å, 80.43 80.43 60.00°
Site moments in Bohr magnetons follow the coordinates.
Sites, in units of the cell vectors:
Eu 0.5000 0.5000 0.5000  7.00
Hg 0.0000 0.0000 0.0000  -0.01
Dy 0.2610 0.2610 0.2171  0.10
Dy 0.7390 0.7390 0.7829  0.10



y:
Compound: EuDy2Hg
Source: the Alexandria database
Functional: GGA-PBE
Structure: optimized geometry

M_tot: 7.19 Bohr magnetons per cell

Cell: 4.7896 4.9101 4.9101 Å, 90.00 90.00 90.00°
Site moments in Bohr magnetons follow the coordinates.
Sites, in units of the cell vectors:
Eu 0.5000 0.5000 0.5000  6.84
Hg 0.5000 0.0000 0.0000  -0.01
Dy 0.0000 0.0000 0.5000  0.06
Dy 0.0000 0.5000 0.0000  0.06



Which of them is the most stable, and which is the least stable? w and y, in that order.



w:
Compound: Eu2DyHo
Source: the Alexandria database
Functional: GGA-PBE
Structure: optimized geometry

M_tot: 15.53 Bohr magnetons per cell

Cell: 3.5696 3.5696 13.0351 Å, 82.13 82.13 60.00°
Site moments in Bohr magnetons follow the coordinates.
Sites, in units of the cell vectors:
Eu 0.0873 0.0873 0.7380  -7.03
Eu 0.9127 0.9127 0.2620  -7.03
Ho 0.0000 0.0000 0.0000  -0.24
Dy 0.5000 0.5000 0.5000  -0.15



x:
Compound: Eu2DyHo
Source: the Alexandria database
Functional: GGA-PBE
Structure: optimized geometry

M_tot: 14.60 Bohr magnetons per cell

Cell: 4.1134 5.8431 5.8431 Å, 90.00 90.00 90.00°
Site moments in Bohr magnetons follow the coordinates.
Sites, in units of the cell vectors:
Eu 0.0000 0.0000 0.5000  -6.85
Eu 0.0000 0.5000 0.0000  -6.85
Ho 0.5000 0.5000 0.5000  -0.13
Dy 0.5000 0.0000 0.0000  -0.12



Which of them is the most stable, and which is the least stable? x and w, in that order.



w:
Compound: EuDyIn
Source: the Alexandria database
Functional: GGA-PBE
Structure: optimized geometry

M_tot: 7.87 Bohr magnetons per cell

Cell: 3.7496 3.7496 7.2113 Å, 105.07 105.07 90.00°
Site moments in Bohr magnetons follow the coordinates.
Sites, in units of the cell vectors:
Eu 0.9634 0.9634 0.9268  -6.93
Dy 0.2618 0.2618 0.5236  -0.30
In 0.6248 0.6248 0.2497  -0.01



x:
Compound: EuDyIn
Source: the Alexandria database
Functional: GGA-PBE
Structure: optimized geometry

M_tot: 7.19 Bohr magnetons per cell

Cell: 3.6204 5.3881 5.3881 Å, 120.00 90.00 90.00°
Site moments in Bohr magnetons follow the coordinates.
Sites, in units of the cell vectors:
Eu 0.9800 0.0000 0.0000  6.87
In 0.6206 0.3333 0.6667  -0.03
Dy 0.3995 0.6667 0.3333  0.06



Which of them is the most stable, and which is the least stable? w and x, in that order.



w:
Compound: EuDyIr
Source: the Alexandria database
Functional: GGA-PBE
Structure: optimized geometry

M_tot: 7.02 Bohr magnetons per cell

Cell: 3.4832 3.4832 7.1101 Å, 104.18 104.18 90.00°
Site moments in Bohr magnetons follow the coordinates.
Sites, in units of the cell vectors:
Eu 0.0346 0.0346 0.0692  6.83
Ir 0.6773 0.6773 0.3546  -0.11
Dy 0.2881 0.2881 0.5761  0.04



x:
Compound: EuDyIr
Source: the Alexandria database
Functional: GGA-PBE
Structure: optimized geometry

M_tot: 7.07 Bohr magnetons per cell

Cell: 6.2814 4.1294 4.1294 Å, 120.00 90.00 90.00°
Site moments in Bohr magnetons follow the coordinates.
Sites, in units of the cell vectors:
Eu 0.7540 0.6667 0.3333  6.80
Ir 0.0167 0.0000 0.0000  -0.06
Dy 0.2293 0.3333 0.6667  0.03



Which of them is the most stable, and which is the least stable? w and x, in that order.



w:
Compound: EuDyIr2
Source: the Alexandria database
Functional: GGA-PBE
Structure: optimized geometry

M_tot: 6.69 Bohr magnetons per cell

Cell: 3.3512 3.3512 7.4054 Å, 90.00 90.00 90.00°
Site moments in Bohr magnetons follow the coordinates.
Sites, in units of the cell vectors:
Eu 0.5000 0.5000 0.5000  6.69
Ir 0.0000 0.0000 0.7686  -0.11
Ir 0.0000 0.0000 0.2314  -0.11
Dy 0.5000 0.5000 0.0000  0.04



x:
Compound: EuDyIr2
Source: the Alexandria database
Functional: GGA-PBE
Structure: optimized geometry

M_tot: 6.63 Bohr magnetons per cell

Cell: 4.8965 4.8965 4.8965 Å, 60.00 60.00 60.00°
Site moments in Bohr magnetons follow the coordinates.
Sites, in units of the cell vectors:
Eu 0.0000 0.0000 0.0000  6.61
Ir 0.2500 0.2500 0.2500  -0.09
Ir 0.7500 0.7500 0.7500  -0.09
Dy 0.5000 0.5000 0.5000  0.03



Which of them is the most stable, and which is the least stable? w and x, in that order.



w:
Compound: KEu2Dy
Source: the Alexandria database
Functional: GGA-PBE
Structure: optimized geometry

M_tot: 15.70 Bohr magnetons per cell

Cell: 3.8054 3.8054 14.0605 Å, 82.22 82.22 60.00°
Site moments in Bohr magnetons follow the coordinates.
Sites, in units of the cell vectors:
Eu 0.0951 0.0951 0.7148  7.05
Eu 0.9049 0.9049 0.2852  7.05
K 0.0000 0.0000 0.0000  0.01
Dy 0.5000 0.5000 0.5000  0.29



x:
Compound: KEu2Dy
Source: the Alexandria database
Functional: GGA-PBE
Structure: optimized geometry

M_tot: 15.95 Bohr magnetons per cell

Cell: 3.8154 3.8154 12.1882 Å, 90.00 90.00 90.00°
Site moments in Bohr magnetons follow the coordinates.
Sites, in units of the cell vectors:
Eu 0.0000 0.0000 0.7912  -7.04
Eu 0.0000 0.0000 0.2088  -7.04
K 0.5000 0.5000 0.5000  -0.01
Dy 0.5000 0.5000 0.0000  -0.47



Which of them is the most stable, and which is the least stable? x and w, in that order.